[1]
DFT (PBE) results for a relaxed structure of La5SnHg2.

The structure in POSCAR format:
```
La5SnHg2
1.0
-4.3815 4.3815 6.6829
4.3815 -4.3815 6.6829
4.3815 4.3815 -6.6829
La Sn Hg
10 2 4
Cartesian
0.0000 0.0000 0.0000 La
5.8012 1.4197 -2.0469 La
1.4197 2.9619 -2.0469 La
5.8012 1.4197 2.0469 La
1.4197 2.9619 2.0469 La
0.0000 0.0000 6.6829 La
2.9619 1.4197 4.6360 La
-1.4197 2.9619 4.6360 La
2.9619 1.4197 8.7298 La
-1.4197 2.9619 8.7298 La
0.0000 0.0000 3.3414 Sn
0.0000 0.0000 10.0243 Sn
3.2130 1.1685 0.0000 Hg
3.2130 -1.1685 6.6829 Hg
1.1685 5.5501 0.0000 Hg
1.1685 3.2130 6.6829 Hg
```

Properties
final energy	-4.13	eV/atom
SG	No. 140
calculated formation energy	-0.478	eV/atom


[2]
DFT (PBE) results for a relaxed structure of LaSnHg2.

The structure in POSCAR format:
```
LaSnHg2
1.0
-2.3403 2.3403 11.0001
2.3403 -2.3403 11.0001
2.3403 2.3403 -11.0001
La Sn Hg
2 2 4
Cartesian
0.0000 0.0000 0.0000 La
0.0000 2.3403 5.5001 La
2.3403 0.0000 5.5001 Sn
0.0000 0.0000 11.0001 Sn
1.1702 -1.0083 8.2501 Hg
1.3320 1.1702 2.7500 Hg
1.1702 3.3487 -2.7500 Hg
1.0083 1.1702 13.7502 Hg
```

Properties
final energy	-2.72	eV/atom
SG	No. 122
calculated formation energy	-0.335	eV/atom


[3]
DFT (PBE) results for a relaxed structure of LaSn2Hg4.

The structure in POSCAR format:
```
LaSn2Hg4
1.0
5.0154 0.0000 0.0000
0.0000 5.0154 0.0000
0.0000 0.0000 7.7163
La Sn Hg
1 2 4
Cartesian
0.0000 0.0000 0.0000 La
0.0000 0.0000 3.8581 Sn
2.5077 2.5077 0.0000 Sn
0.0000 2.5077 2.1677 Hg
0.0000 2.5077 5.5485 Hg
2.5077 0.0000 2.1677 Hg
2.5077 0.0000 5.5485 Hg
```

Properties
final energy	-2.30	eV/atom
SG	No. 123
calculated formation energy	-0.282	eV/atom